## Re3SnSe (SCAN)

Data for Re3SnSe at its PBEsol-relaxed geometry.

The value obtained for the magnetic moment is 1.9 μB/cell. The formation energy without anion corrections comes out at 1808 meV per atom. The calculated total energy is -260.253 eV for the cell shown.

The structure belongs to space group Pm-3m (No. 221); the cell edges are 4.536, 4.536 and 4.536 Å and the angles 90.00°, 90.00° and 90.00°. Symmetry generates all atoms from Re at (0.000, 0.000, 0.500), Sn at (0.500, 0.500, 0.500) and Se at (0.000, 0.000, 0.000).